Density functional theory data (SCAN) for a PBEsol-optimized structure of YBeAg2.

Structure (POSCAR):
```
YBeAg2
1.0
3.978 0.000 0.000
0.000 1.776 5.211
0.000 -1.776 5.211
Y Be Ag
1 1 2
Cartesian
0.000 0.000 0.000
1.989 0.000 3.994
0.000 0.000 2.856
1.989 0.000 7.029
```

Values from the calculation:
Its formation energy is -2.50 kJ/mol of atoms. The value obtained for the energy is -95.0 eV per formula unit. The symmetry is Amm2, No. 38.

---

Density functional theory data (SCAN) for a PBEsol-optimized structure of La2H2Ru.

Structure (POSCAR):
```
La2H2Ru
1.0
-1.774 1.774 6.686
1.774 -1.774 6.686
1.774 1.774 -6.686
La H Ru
2 2 1
Cartesian
0.000 0.000 1.733
0.000 0.000 11.639
1.774 0.000 3.343
0.000 1.774 3.343
0.000 0.000 6.686
```

Values from the calculation:
The value obtained for the energy is -130.2 eV per formula unit. The symmetry is I4/mmm, No. 139.

---

Density functional theory data (SCAN) for a PBEsol-optimized structure of ZnCd2Se.

Structure (POSCAR):
```
ZnCd2Se
1.0
3.212 -1.843 0.000
3.212 1.843 0.000
-2.131 0.000 7.180
Zn Cd Se
1 2 1
Cartesian
0.000 0.000 0.000
0.016 0.000 5.322
2.158 0.000 3.256
4.287 0.000 1.338
```

Values from the calculation:
The value obtained for the energy is -95.0 eV per formula unit. The symmetry is Cm, No. 8.

---

Density functional theory data (SCAN) for a PBEsol-optimized structure of ZnBiRh3.

Structure (POSCAR):
```
ZnBiRh3
1.0
4.496 0.000 0.000
0.000 4.496 0.000
0.000 0.000 4.496
Zn Bi Rh
1 1 3
Cartesian
0.000 0.000 0.000
2.248 2.248 2.248
0.000 0.000 2.248
0.000 2.248 0.000
2.248 0.000 0.000
```

Values from the calculation:
Its formation energy is 70.80 kJ/mol of atoms. The value obtained for the energy is -189.7 eV per formula unit. The symmetry is Pm-3m, No. 221.